TlSnSb | the Alexandria database | PBE | optimized geometry; formation energy without anion corrections = 0.079 eV/atom; DOS(E_F) = 0.9 states/eV/cell; ΔE to the lowest computed polymorph = 0.085 eV/atom; total DFT energy (no corrections) = -10.3 eV/cell
1.0
-2.575 -2.760 3.715
2.645 -1.971 4.144
-0.710 2.071 4.823
Tl Sb Sn
1 1 1
direct
0.500 0.500 0.500 Tl
0.250 0.250 0.250 Sb
0.000 0.000 0.000 Sn

TlSn3Sb | the Alexandria database | PBE | optimized geometry; formation energy without anion corrections = 0.060 eV/atom; DOS(E_F) = 9.3 states/eV/cell; ΔE to the lowest computed polymorph = 0.000 eV/atom; total DFT energy (no corrections) = -72.8 eV/cell
1.0
7.092 0.000 0.000
0.000 8.981 0.000
0.000 0.000 9.536
Sb Sn Tl
4 12 4
direct
0.500 0.000 0.500 Sb
0.000 0.500 0.500 Sb
0.000 0.500 0.000 Sb
0.500 0.000 0.000 Sb
0.372 0.331 0.923 Sn
0.128 0.831 0.077 Sn
0.372 0.331 0.577 Sn
0.628 0.669 0.077 Sn
0.777 0.952 0.250 Sn
0.723 0.452 0.750 Sn
0.628 0.669 0.423 Sn
0.277 0.548 0.250 Sn
0.128 0.831 0.423 Sn
0.223 0.048 0.750 Sn
0.872 0.169 0.577 Sn
0.872 0.169 0.923 Sn
0.298 0.673 0.750 Tl
0.202 0.173 0.250 Tl
0.798 0.827 0.750 Tl
0.702 0.327 0.250 Tl

Tl2Sn2Sb3 | the Alexandria database | PBE | optimized geometry; formation energy without anion corrections = 0.052 eV/atom; DOS(E_F) = 3.3 states/eV/cell; total DFT energy (no corrections) = -24.7 eV/cell
1.0
-1.947 -4.282 -0.426
7.279 -3.271 -0.392
-4.110 3.813 6.654
Tl Sb Sn
2 3 2
direct
0.670 0.291 0.340 Tl
0.330 0.709 0.660 Tl
0.638 0.661 0.276 Sb
0.362 0.339 0.724 Sb
0.000 0.000 0.000 Sb
0.136 0.882 0.272 Sn
0.864 0.118 0.728 Sn

TlSnSb2 | the Alexandria database | PBE | optimized geometry; formation energy without anion corrections = 0.129 eV/atom; DOS(E_F) = 3.5 states/eV/cell; ΔE to the lowest computed polymorph = 0.085 eV/atom; total DFT energy (no corrections) = -28.2 eV/cell
1.0
-3.411 -5.906 1.111
5.010 -2.089 4.276
-2.454 -1.138 7.903
Sb Tl Sn
4 2 2
direct
0.375 0.388 0.750 Sb
0.875 0.862 0.750 Sb
0.612 0.125 0.250 Sb
0.138 0.625 0.250 Sb
0.000 0.000 0.000 Tl
0.750 0.250 0.500 Tl
0.250 0.750 0.500 Sn
0.500 0.500 0.000 Sn

The lowest total DFT energy (no corrections) belongs to which entry? TlSn3Sb

Which formula does entry 4 have? TlSnSb2